Entry 1:
DFT (PBE) results for crystalline Li5Ga4 at its relaxed geometry.

a b c (Å): 4.3584 4.3584 8.2771
angles (deg): 90.00 90.00 120.00
Fractional positions:
Ga  0.0000  0.0000  0.3339
Li  0.0000  0.0000  0.0000
Li  0.6667  0.3333  0.5525
Ga  0.6667  0.3333  0.2191
Li  0.3333  0.6667  0.1187
Ga  0.0000  0.0000  0.6661
Li  0.3333  0.6667  0.4475
Ga  0.3333  0.6667  0.7809
Li  0.6667  0.3333  0.8813

Crystal system ... trigonal
Calculated density ... 3.8 Mg/m³
Calculated formation energy ... -0.328 eV per atom
E above lowest polymorph ... 0.00 eV per formula unit
Final energy ... -2.737 eV per atom

Entry 2:
DFT (PBE) results for crystalline Li17Ga2 at its relaxed geometry.

a b c (Å): 7.6196 7.6196 7.6196
angles (deg): 63.39 63.39 63.39
Fractional positions:
Li  0.3138  0.6862  0.0000
Li  0.5000  0.0000  0.0000
Li  0.8069  0.4356  0.4356
Li  0.6862  0.0000  0.3138
Li  0.1931  0.5644  0.5644
Li  0.5644  0.5644  0.1931
Li  0.4356  0.8069  0.4356
Ga  0.2786  0.2786  0.2786
Li  0.0000  0.3138  0.6862
Ga  0.7214  0.7214  0.7214
Li  0.5644  0.1931  0.5644
Li  0.3138  0.0000  0.6862
Li  0.0000  0.5000  0.0000
Li  0.0000  0.0000  0.5000
Li  0.0944  0.0944  0.0944
Li  0.0000  0.6862  0.3138
Li  0.9056  0.9056  0.9056
Li  0.4356  0.4356  0.8069
Li  0.6862  0.3138  0.0000

Crystal system ... trigonal
Calculated density ... 1.3 Mg/m³
Calculated formation energy ... -0.005 eV per atom
Final energy ... -2.036 eV per atom

Entry 3:
DFT (PBE) results for crystalline Li3Ga at its relaxed geometry.

a b c (Å): 3.2773 4.4491 5.1888
angles (deg): 115.39 108.41 90.00
Fractional positions:
Li  0.2491  0.6660  0.4983
Li  0.5000  0.4164  0.0000
Li  0.7509  0.1677  0.5017
Ga  0.0000  0.9166  0.0000

Crystal system ... orthorhombic
Calculated density ... 2.3 Mg/m³
Calculated formation energy ... -0.208 eV per atom
E above lowest polymorph ... 0.00 eV per formula unit
Final energy ... -2.400 eV per atom

Please write out number 2 again, unchanged.
DFT (PBE) results for crystalline Li17Ga2 at its relaxed geometry.

a b c (Å): 7.6196 7.6196 7.6196
angles (deg): 63.39 63.39 63.39
Fractional positions:
Li  0.3138  0.6862  0.0000
Li  0.5000  0.0000  0.0000
Li  0.8069  0.4356  0.4356
Li  0.6862  0.0000  0.3138
Li  0.1931  0.5644  0.5644
Li  0.5644  0.5644  0.1931
Li  0.4356  0.8069  0.4356
Ga  0.2786  0.2786  0.2786
Li  0.0000  0.3138  0.6862
Ga  0.7214  0.7214  0.7214
Li  0.5644  0.1931  0.5644
Li  0.3138  0.0000  0.6862
Li  0.0000  0.5000  0.0000
Li  0.0000  0.0000  0.5000
Li  0.0944  0.0944  0.0944
Li  0.0000  0.6862  0.3138
Li  0.9056  0.9056  0.9056
Li  0.4356  0.4356  0.8069
Li  0.6862  0.3138  0.0000

Crystal system ... trigonal
Calculated density ... 1.3 Mg/m³
Calculated formation energy ... -0.005 eV per atom
Final energy ... -2.036 eV per atom

Question: What is the calculated formation energy in the second record?
Answer: -0.005 eV per atom

Question: Among the records above, which one has the highest calculated formation energy?
Answer: Li17Ga2

Question: Which formula does entry 1 have?
Answer: Li5Ga4